Entry 1:
A relaxed MgCdP2 crystal. Source: Alexandria via LeMat-Bulk, functional PBE.

Computed properties:
- energy relative to the lowest polymorph listed for this composition (meV per atom) = 278
- size of the total moment (μB/atom) = 0.0000
- formation enthalpy at 0 K (eV per atom) = 0.162

Unit cell a=3.1732 b=3.1732 c=7.5066 alpha=90.00 beta=90.00 gamma=100.63
Last column: nearest neighbours and their distance in Å.
Element x y z (fractional)
Cd: 0.5000 0.5000 0.2500  8 P 2.84-3.15, 4 Cd 3.17
Mg: 0.5000 0.5000 0.7500  4 P 2.69
P: 0.0000 0.0000 0.5142  2 Mg 2.69, 2 Cd 2.84
P: 0.0000 0.0000 0.9858  2 Mg 2.69, 2 Cd 2.84

***

Entry 2:
A relaxed PrSm6Cd crystal. Source: Alexandria via LeMat-Bulk, functional PBE.

Computed properties:
- energy relative to the lowest polymorph listed for this composition (meV per atom) = 0
- size of the total moment (μB/atom) = 0.0000
- formation enthalpy at 0 K (eV per atom) = -0.028

Unit cell a=5.0185 b=5.0185 c=10.2304 alpha=90.00 beta=90.00 gamma=90.00
Last column: nearest neighbours and their distance in Å.
Element x y z (fractional)
Pr: 0.0000 0.0000 0.5000  12 Sm 3.55-3.64
Sm: 0.5000 0.5000 0.0000  8 Sm 3.53, 4 Cd 3.55
Sm: 0.5000 0.0000 0.2425  8 Sm 3.53-3.64, 2 Cd 3.53, 2 Pr 3.64
Sm: 0.0000 0.5000 0.2425  2 Cd 3.53, 8 Sm 3.53-3.64, 2 Pr 3.64
Sm: 0.5000 0.0000 0.7575  8 Sm 3.53-3.64, 2 Cd 3.53, 2 Pr 3.64
Sm: 0.0000 0.5000 0.7575  2 Cd 3.53, 8 Sm 3.53-3.64, 2 Pr 3.64
Sm: 0.5000 0.5000 0.5000  4 Pr 3.55, 8 Sm 3.64
Cd: 0.0000 0.0000 0.0000  12 Sm 3.53-3.55